Record 1
This record from Alexandria describes a relaxed structure of Zn2OsPb. The functional is PBE.

The structure in CIF format:
```
data_Zn2OsPb
_symmetry_space_group_name_H-M 'P 4 m m'
_symmetry_Int_Tables_number 99
_symmetry_space_group_name_Hall 'P 4 -2'
_cell_length_a 3.358
_cell_length_b 3.358
_cell_length_c 6.379
_cell_angle_alpha 90.00
_cell_angle_beta 90.00
_cell_angle_gamma 90.00
loop_
_atom_site_label
_atom_site_fract_x
_atom_site_fract_y
_atom_site_fract_z
Zn1 0.000 0.000 0.000
Zn2 0.500 0.500 0.222
Os1 0.000 0.000 0.403
Pb1 0.500 0.500 0.685
```

Final energy, eV per atom: -3.96
Energy relative to the elements, eV/atom: 0.41
Density of states at the Fermi level, states/eV per atom: 0.34



Record 2
This record from Alexandria describes a relaxed structure of Pm6Ho2Tm3Sc. The functional is PBE.

The structure in CIF format:
```
data_Pm6Ho2Tm3Sc
_symmetry_space_group_name_H-M 'C 1 2/m 1'
_symmetry_Int_Tables_number 12
_symmetry_space_group_name_Hall '-C 2y'
_cell_length_a 6.181
_cell_length_b 10.703
_cell_length_c 11.659
_cell_angle_alpha 90.00
_cell_angle_beta 100.15
_cell_angle_gamma 90.00
loop_
_atom_site_label
_atom_site_fract_x
_atom_site_fract_y
_atom_site_fract_z
Pm1 0.248 0.000 0.251
Pm2 0.248 0.165 0.749
Ho1 0.000 0.333 0.500
Tm1 0.000 0.167 0.000
Tm2 0.000 0.500 0.000
Sc1 0.000 0.000 0.500
```

Final energy, eV per atom: -4.76
Energy relative to the elements, eV/atom: 0.02
Density of states at the Fermi level, states/eV per atom: 1.08



Record 3
This record from Alexandria describes a relaxed structure of HgBi4S7. The functional is PBE.

The structure in CIF format:
```
data_HgBi4S7
_symmetry_space_group_name_H-M 'C 1 m 1'
_symmetry_Int_Tables_number 8
_symmetry_space_group_name_Hall 'C -2y'
_cell_length_a 13.803
_cell_length_b 4.062
_cell_length_c 11.892
_cell_angle_alpha 90.00
_cell_angle_beta 107.12
_cell_angle_gamma 90.00
loop_
_atom_site_label
_atom_site_fract_x
_atom_site_fract_y
_atom_site_fract_z
Hg1 0.000 0.000 0.000
Bi1 0.102 0.000 0.434
Bi2 0.249 0.000 0.865
Bi3 0.262 0.500 0.170
Bi4 0.413 0.000 0.582
S1 0.059 0.000 0.644
S2 0.126 0.000 0.194
S3 0.145 0.500 0.949
S4 0.259 0.500 0.478
S5 0.367 0.000 0.084
S6 0.373 0.500 0.809
S7 0.452 0.000 0.377
```

Final energy, eV per atom: -4.03
Uncorrected formation energy, eV/atom: -0.303